Computed, not measured: a geometry-optimized Er2Fe17C3 structure at the GGA-PBE level of DFT.

The space group is No. 194. The calculation puts the formation energy at -88 meV/atom.

abc: 8.609 8.609 8.326
angles: 90.00 90.00 120.00
Fractional coordinates of all 44 atoms:
Fe 0.000 0.500 0.500
Fe 0.832 0.168 0.520
Fe 0.500 0.000 0.000
Fe 0.948 0.326 0.250
Fe 0.832 0.664 0.520
Fe 0.664 0.832 0.480
Fe 0.667 0.333 0.107
Fe 0.500 0.500 0.500
Fe 0.052 0.379 0.750
Fe 0.168 0.336 0.480
Fe 0.052 0.674 0.750
Fe 0.000 0.500 0.000
Fe 0.168 0.336 0.020
Fe 0.333 0.667 0.893
Fe 0.500 0.500 0.000
Fe 0.500 0.000 0.500
Fe 0.621 0.948 0.750
Fe 0.336 0.168 0.520
Fe 0.326 0.379 0.750
Fe 0.664 0.832 0.020
Fe 0.674 0.052 0.250
Fe 0.832 0.168 0.980
Fe 0.667 0.333 0.393
Fe 0.832 0.664 0.980
Fe 0.674 0.621 0.250
Fe 0.379 0.326 0.250
Fe 0.168 0.832 0.020
Fe 0.168 0.832 0.480
Fe 0.379 0.052 0.250
Fe 0.326 0.948 0.750
Fe 0.948 0.621 0.250
Fe 0.621 0.674 0.750
Fe 0.333 0.667 0.607
Fe 0.336 0.168 0.980
Er 0.667 0.333 0.750
Er 0.000 0.000 0.250
Er 0.000 0.000 0.750
Er 0.333 0.667 0.250
C 0.165 0.331 0.250
C 0.669 0.835 0.250
C 0.835 0.669 0.750
C 0.165 0.835 0.250
C 0.331 0.165 0.750
C 0.835 0.165 0.750

Computed, not measured: a geometry-optimized Er2FeC structure at the GGA-PBE level of DFT.

The space group is No. 166. The calculation puts the formation energy at 336 meV/atom.

abc: 3.433 3.433 8.411
angles: 78.22 78.22 60.00
Fractional coordinates of all 4 atoms:
C 0.500 0.500 0.500
Er 0.888 0.888 0.336
Er 0.112 0.112 0.664
Fe 0.000 0.000 0.000

Computed, not measured: a geometry-optimized ErFeC structure at the GGA-PBE level of DFT.

Its excess energy over the best structure of this formula in the dataset is 629 meV per atom. The space group is No. 107. The calculation puts the formation energy at 456 meV/atom.

abc: 2.845 2.845 5.055
angles: 106.34 106.34 90.00
Fractional coordinates of all 3 atoms:
Er 0.007 0.007 0.014
Fe 0.282 0.282 0.565
C 0.711 0.711 0.421

Computed, not measured: a geometry-optimized Er2FeC2 structure at the GGA-PBE level of DFT.

Its excess energy over the best structure of this formula in the dataset is 6 meV per atom. The space group is No. 62. The calculation puts the formation energy at -307 meV/atom.

abc: 4.980 6.207 9.599
angles: 90.00 90.00 90.00
Fractional coordinates of all 20 atoms:
C 0.750 0.465 0.761
C 0.250 0.535 0.239
C 0.250 0.191 0.959
C 0.750 0.309 0.459
C 0.750 0.965 0.739
C 0.250 0.691 0.541
C 0.250 0.035 0.261
C 0.750 0.809 0.041
Er 0.750 0.683 0.555
Er 0.750 0.519 0.217
Er 0.250 0.317 0.445
Er 0.750 0.019 0.283
Er 0.250 0.981 0.717
Er 0.250 0.817 0.055
Er 0.750 0.183 0.945
Er 0.250 0.481 0.783
Fe 0.750 0.729 0.856
Fe 0.250 0.771 0.356
Fe 0.750 0.229 0.644
Fe 0.250 0.271 0.144

Computed, not measured: a geometry-optimized Er2Fe17C3 structure at the GGA-PBE level of DFT.

The space group is No. 166. The calculation puts the formation energy at -87 meV/atom.

abc: 6.481 6.481 6.481
angles: 83.06 83.06 83.06
Fractional coordinates of all 22 atoms:
Fe 0.000 0.284 0.716
Fe 0.284 0.000 0.716
Fe 0.000 0.500 0.000
Fe 0.000 0.716 0.284
Fe 0.344 0.854 0.344
Fe 0.656 0.146 0.656
Fe 0.904 0.904 0.904
Fe 0.716 0.284 0.000
Fe 0.716 0.000 0.284
Fe 0.500 0.000 0.000
Fe 0.854 0.344 0.344
Fe 0.096 0.096 0.096
Fe 0.146 0.656 0.656
Fe 0.656 0.656 0.146
Fe 0.000 0.000 0.500
Fe 0.284 0.716 0.000
Fe 0.344 0.344 0.854
C 0.500 0.000 0.500
C 0.500 0.500 0.000
C 0.000 0.500 0.500
Er 0.342 0.342 0.342
Er 0.658 0.658 0.658

Computed, not measured: a geometry-optimized ErFe4C4 structure at the GGA-PBE level of DFT.

The space group is No. 86. The calculation puts the formation energy at 33 meV/atom.

abc: 3.588 6.946 6.946
angles: 90.00 90.00 90.00
Fractional coordinates of all 18 atoms:
Er 0.000 0.000 0.000
Er 0.500 0.500 0.500
C 0.621 0.164 0.719
C 0.621 0.836 0.281
C 0.121 0.781 0.664
C 0.121 0.219 0.336
C 0.379 0.281 0.164
C 0.879 0.664 0.219
C 0.879 0.336 0.781
C 0.379 0.719 0.836
Fe 0.127 0.160 0.604
Fe 0.127 0.840 0.396
Fe 0.373 0.340 0.896
Fe 0.373 0.660 0.104
Fe 0.873 0.396 0.160
Fe 0.627 0.104 0.340
Fe 0.873 0.604 0.840
Fe 0.627 0.896 0.660

Computed, not measured: a geometry-optimized ErFeC structure at the GGA-PBE level of DFT.

Its excess energy over the best structure of this formula in the dataset is 116 meV per atom. The space group is No. 187. The calculation puts the formation energy at -58 meV/atom.

abc: 3.975 3.405 3.405
angles: 120.00 90.00 90.00
Fractional coordinates of all 3 atoms:
Fe 0.167 0.333 0.667
Er 0.667 0.667 0.333
C 0.167 0.000 0.000

Computed, not measured: a geometry-optimized Er2GaFeC structure at the GGA-PBE level of DFT.

The space group is No. 123. The calculation puts the formation energy at -421 meV/atom.

abc: 3.669 4.906 4.906
angles: 90.00 90.00 90.00
Fractional coordinates of all 5 atoms:
Ga 0.500 0.500 0.500
Er 0.000 0.500 0.000
Er 0.000 0.000 0.500
C 0.000 0.000 0.000
Fe 0.500 0.000 0.000

Computed, not measured: a geometry-optimized Er2Ga3Fe14C2 structure at the GGA-PBE level of DFT.

The space group is No. 12. The calculation puts the formation energy at -155 meV/atom.

abc: 6.464 6.464 6.515
angles: 83.28 83.28 82.32
Fractional coordinates of all 21 atoms:
Fe 0.286 0.996 0.716
Fe 0.091 0.091 0.095
Fe 0.350 0.848 0.346
Fe 0.714 0.004 0.284
Fe 0.346 0.346 0.845
Fe 0.650 0.152 0.654
Fe 0.909 0.909 0.905
Fe 0.654 0.654 0.155
Fe 0.848 0.350 0.346
Fe 0.004 0.714 0.284
Fe 0.152 0.650 0.654
Fe 0.700 0.300 0.000
Fe 0.300 0.700 0.000
Fe 0.996 0.286 0.716
C 0.500 0.000 0.500
C 0.000 0.500 0.500
Er 0.348 0.348 0.340
Er 0.652 0.652 0.660
Ga 0.000 0.000 0.500
Ga 0.500 0.000 0.000
Ga 0.000 0.500 0.000

Computed, not measured: a geometry-optimized ErFe2GeC structure at the GGA-PBE level of DFT.

The space group is No. 63. The calculation puts the formation energy at -415 meV/atom.

abc: 3.767 5.584 6.861
angles: 90.00 90.00 109.71
Fractional coordinates of all 10 atoms:
C 0.000 0.000 0.500
C 0.000 0.000 0.000
Fe 0.163 0.326 0.562
Fe 0.163 0.326 0.938
Fe 0.837 0.674 0.438
Fe 0.837 0.674 0.062
Ge 0.268 0.536 0.250
Ge 0.732 0.464 0.750
Er 0.548 0.096 0.250
Er 0.452 0.904 0.750

Computed, not measured: a geometry-optimized ErFe2Ge2C structure at the GGA-PBE level of DFT.

The space group is No. 123. The calculation puts the formation energy at -261 meV/atom.

abc: 3.928 3.928 5.351
angles: 90.00 90.00 90.00
Fractional coordinates of all 6 atoms:
Ge 0.500 0.500 0.728
Ge 0.500 0.500 0.272
Er 0.000 0.000 0.500
Fe 0.500 0.000 0.000
Fe 0.000 0.500 0.000
C 0.000 0.000 0.000

Computed, not measured: a geometry-optimized LiEr2FeC structure at the GGA-PBE level of DFT.

The space group is No. 123. The calculation puts the formation energy at -203 meV/atom.

abc: 3.667 4.927 4.927
angles: 90.00 90.00 90.00
Fractional coordinates of all 5 atoms:
Er 0.000 0.000 0.500
Er 0.000 0.500 0.000
Li 0.500 0.500 0.500
Fe 0.500 0.000 0.000
C 0.000 0.000 0.000